# PaMn2NiO8, optimized geometry, DFT PBE with a Hubbard U
data_PaMn2NiO8
_chemical_formula_sum 'Pa2 Mn4 Ni2 O16'
_cell_length_a 5.2243
_cell_length_b 5.2243
_cell_length_c 10.0151
_cell_angle_alpha 90.00
_cell_angle_beta 90.00
_cell_angle_gamma 90.00
_space_group_name_H-M_alt 'I -4'
_space_group_IT_number 82
loop_
_space_group_symop_operation_xyz
'x,y,z'
'y,-x,-z'
'-x,-y,z'
'-y,x,-z'
'x+1/2,y+1/2,z+1/2'
'y+1/2,-x+1/2,-z+1/2'
'-x+1/2,-y+1/2,z+1/2'
'-y+1/2,x+1/2,-z+1/2'
loop_
_atom_site_label
_atom_site_fract_x
_atom_site_fract_y
_atom_site_fract_z
_atom_site_occupancy
Pa1 0.0000 0.0000 0.0000 1
Mn1 0.0000 0.0000 0.5000 1
Mn2 0.0000 0.5000 0.2500 1
Ni1 0.0000 0.5000 0.7500 1
O1 0.1755 0.6899 0.8874 1
O2 0.1814 0.3048 0.3546 1
# DFT total energy in eV/atom: -7.05
# DOS at the Fermi energy in states/eV per atom: 0.38